First-principles (PBE+U) data for a relaxed ReNi2F crystal, as listed in the Alexandria database.

Energy above the lowest structure with this stoichiometry, meV/atom: 0
Total magnetic moment, μB/f.u.: 3.66
E, eV per atom: -4.0033
N(E_F), states/eV/f.u.: 3.25

extended XYZ file:
```
8
Lattice="6.307 0.000 0.000 0.000 6.307 0.000 3.154 3.154 2.633" Properties=species:S:1:pos:R:3 pbc="T T T"
Ni 1.907 4.731 0.658
Ni 4.731 5.060 1.975
Ni 4.401 1.577 0.658
Ni 7.884 7.554 1.975
Re 6.307 3.154 1.317
Re 0.000 0.000 0.000
F 3.154 6.307 1.317
F 3.154 3.154 0.000
```